## La4SbTe5 (PBE-GGA)

Data for a geometry-optimized La4SbTe5 structure.

Lattice parameters (Å, degrees): 10.038 10.487 7.959 90.00 90.00 90.00
Fractional positions:
La1 0.014 0.250 0.065
La2 0.250 0.520 0.485
La3 0.250 0.980 0.485
La4 0.486 0.250 0.065
La5 0.514 0.750 0.935
La6 0.750 0.020 0.515
La7 0.750 0.480 0.515
La8 0.986 0.750 0.935
Sb1 0.250 0.750 0.742
Sb2 0.750 0.250 0.258
Te1 0.013 0.049 0.755
Te2 0.013 0.451 0.755
Te3 0.250 0.250 0.323
Te4 0.487 0.049 0.755
Te5 0.487 0.451 0.755
Te6 0.513 0.549 0.245
Te7 0.513 0.951 0.245
Te8 0.750 0.750 0.677
Te9 0.987 0.549 0.245
Te10 0.987 0.951 0.245

* mass density: 5.2 g cm⁻³
* E_form (uncorrected): -1253 meV per atom
* DOS at the Fermi energy: 0.562 states/eV/atom
* symmetry: Pmmn (59)
* calculated volume: 41.89 Å³/atom
* E_tot: -0.191 hartree per atom